No. 1
# CaCdFe

A relaxed CaCdFe crystal (GGA-PBE, Alexandria).

* ΔE_f: 0.28 eV per atom

```
data_CaCdFe
_chemical_formula_sum 'Ca2 Cd2 Fe2'
_cell_length_a 3.3978
_cell_length_b 3.3978
_cell_length_c 11.3734
_cell_angle_alpha 90.00
_cell_angle_beta 90.00
_cell_angle_gamma 90.00
_symmetry_space_group_name_H-M 'I 4 m m'
_symmetry_Int_Tables_number 107
_symmetry_space_group_name_Hall 'I 4 -2'
loop_
_atom_site_label
_atom_site_fract_x
_atom_site_fract_y
_atom_site_fract_z
Ca1 0.0000 0.0000 0.0000
Cd1 0.0000 0.0000 0.2958
Fe1 0.0000 0.0000 0.6738
```

No. 2
# CaCdFe2

A relaxed CaCdFe2 crystal (GGA-PBE, Alexandria).

* ΔE_f: 0.58 eV per atom

```
data_CaCdFe2
_chemical_formula_sum 'Ca2 Cd2 Fe4'
_cell_length_a 5.9146
_cell_length_b 8.3745
_cell_length_c 2.9113
_cell_angle_alpha 90.00
_cell_angle_beta 90.00
_cell_angle_gamma 90.00
_symmetry_space_group_name_H-M 'C m m m'
_symmetry_Int_Tables_number 65
_symmetry_space_group_name_Hall '-C 2 2'
loop_
_atom_site_label
_atom_site_fract_x
_atom_site_fract_y
_atom_site_fract_z
Ca1 0.0000 0.0000 0.0000
Cd1 0.0000 0.5000 0.0000
Fe1 0.2500 0.2500 0.5000
```

No. 3
# CaCdFe2

A relaxed CaCdFe2 crystal (GGA-PBE, Alexandria).

* ΔE_f: 0.46 eV per atom

```
data_CaCdFe2
_chemical_formula_sum 'Ca2 Cd2 Fe4'
_cell_length_a 4.3167
_cell_length_b 4.3167
_cell_length_c 7.8721
_cell_angle_alpha 90.00
_cell_angle_beta 90.00
_cell_angle_gamma 90.00
_symmetry_space_group_name_H-M 'I -4 m 2'
_symmetry_Int_Tables_number 119
_symmetry_space_group_name_Hall 'I -4 -2'
loop_
_atom_site_label
_atom_site_fract_x
_atom_site_fract_y
_atom_site_fract_z
Ca1 0.0000 0.0000 0.0000
Cd1 0.0000 0.5000 0.7500
Fe1 0.0000 0.0000 0.5000
Fe2 0.0000 0.5000 0.2500
```